First-principles (PBE) data for a relaxed structure of Cr2GaB, as listed in Alexandria.

Values from the calculation:
The energy above the most stable polymorph in this dataset is 0 meV/atom. The size of the total moment is 0.000 μB per formula unit.

a = 5.577 Å, b = 5.577 Å, c = 5.577 Å
α = 90.00°, β = 90.00°, γ = 90.00°
Element x y z (fractional)
1 Cr 0.250 0.250 0.250
2 Cr 0.250 0.250 0.750
3 Cr 0.250 0.750 0.250
4 Cr 0.250 0.750 0.750
5 Cr 0.750 0.250 0.250
6 Cr 0.750 0.250 0.750
7 Cr 0.750 0.750 0.250
8 Cr 0.750 0.750 0.750
9 Ga 0.000 0.000 0.000
10 Ga 0.000 0.500 0.500
11 Ga 0.500 0.000 0.500
12 Ga 0.500 0.500 0.000
13 B 0.000 0.000 0.500
14 B 0.000 0.500 0.000
15 B 0.500 0.000 0.000
16 B 0.500 0.500 0.500